[1]
Density functional theory data (PBE) for an optimized crystal structure of AcTb2Pm5Y.

Lattice parameters (Å, degrees): 5.588 24.319 9.515 90.00 90.00 90.00
Space group Cmc2_1 (No. 36)
Unique sites:
Ac 0.000 0.102 0.000 x4
Tb 0.000 0.327 0.250 x4
Tb 0.000 0.388 0.858 x4
Pm 0.000 0.024 0.326 x4
Pm 0.000 0.105 0.604 x4
Pm 0.000 0.190 0.297 x4
Pm 0.000 0.242 0.935 x4
Pm 0.000 0.491 0.105 x4
Y 0.000 0.263 0.608 x4

Computed properties:
The formation energy comes out at 144 meV per atom. The density of states at the Fermi level is 1.27 states/eV per atom.

[2]
Density functional theory data (PBE) for an optimized crystal structure of AcTb6Pm2Y3.

Lattice parameters (Å, degrees): 6.270 10.855 11.963 90.00 100.03 90.00
Space group C2/m (No. 12)
Unique sites:
Ac 0.000 0.000 0.000 x2
Tb 0.247 0.332 0.745 x8
Tb 0.250 0.000 0.745 x4
Pm 0.000 0.333 0.000 x4
Y 0.000 0.167 0.500 x4
Y 0.000 0.500 0.500 x2

Computed properties:
The formation energy comes out at 29 meV per atom. The density of states at the Fermi level is 1.37 states/eV per atom.

[3]
Density functional theory data (PBE) for an optimized crystal structure of AcTb3PmY.

Lattice parameters (Å, degrees): 20.117 5.040 8.518 90.00 90.37 90.00
Space group C2/m (No. 12)
Unique sites:
Ac 0.100 0.000 0.058 x4
Tb 0.047 0.000 0.654 x4
Tb 0.155 0.500 0.749 x4
Tb 0.234 0.500 0.151 x4
Pm 0.071 0.500 0.373 x4
Y 0.192 0.000 0.454 x4

Computed properties:
The formation energy comes out at 137 meV per atom. The density of states at the Fermi level is 1.52 states/eV per atom.

[4]
Density functional theory data (PBE) for an optimized crystal structure of AcTb2Pm6Y3.

Lattice parameters (Å, degrees): 6.319 10.945 12.064 90.00 100.06 90.00
Space group C2/m (No. 12)
Unique sites:
Ac 0.000 0.000 0.000 x2
Tb 0.000 0.333 0.000 x4
Pm 0.247 0.332 0.746 x8
Pm 0.249 0.500 0.254 x4
Y 0.000 0.167 0.500 x4
Y 0.000 0.500 0.500 x2

Computed properties:
The formation energy comes out at 25 meV per atom. The density of states at the Fermi level is 1.35 states/eV per atom.

[5]
Density functional theory data (PBE) for an optimized crystal structure of Ac2TbPm5Y.

Lattice parameters (Å, degrees): 5.831 20.680 10.959 90.00 90.00 90.00
Space group Cmc2_1 (No. 36)
Unique sites:
Ac 0.000 0.112 0.000 x4
Ac 0.000 0.117 0.585 x4
Tb 0.000 0.206 0.276 x4
Pm 0.000 0.019 0.289 x4
Pm 0.000 0.281 0.575 x4
Pm 0.000 0.296 0.969 x4
Pm 0.000 0.390 0.289 x4
Pm 0.000 0.482 0.009 x4
Y 0.000 0.408 0.733 x4

Computed properties:
The formation energy comes out at 140 meV per atom. The density of states at the Fermi level is 1.40 states/eV per atom.

[6]
Density functional theory data (PBE) for an optimized crystal structure of AcTbPm2Y6.

Lattice parameters (Å, degrees): 9.258 15.380 9.711 90.00 96.32 90.00
Space group C2/c (No. 15)
Unique sites:
Ac 0.000 0.027 0.250 x4
Tb 0.000 0.410 0.750 x4
Pm 0.247 0.444 0.451 x8
Y 0.062 0.191 0.942 x8
Y 0.101 0.392 0.115 x8
Y 0.210 0.228 0.317 x8

Computed properties:
The formation energy comes out at 124 meV per atom. The density of states at the Fermi level is 1.61 states/eV per atom.

[7]
Density functional theory data (PBE) for an optimized crystal structure of AcTbPmY2.

Lattice parameters (Å, degrees): 6.571 17.491 6.475 90.00 90.00 90.00
Space group Cmcm (No. 63)
Unique sites:
Ac 0.000 0.159 0.250 x4
Tb 0.000 0.272 0.750 x4
Pm 0.000 0.347 0.250 x4
Y 0.245 0.500 0.000 x8

Computed properties:
The formation energy comes out at 385 meV per atom. The density of states at the Fermi level is 1.71 states/eV per atom.

[8]
Density functional theory data (PBE) for an optimized crystal structure of AcTb3Pm2Y6.

Lattice parameters (Å, degrees): 6.277 10.868 11.918 90.00 100.07 90.00
Space group C2/m (No. 12)
Unique sites:
Ac 0.000 0.000 0.000 x2
Tb 0.000 0.167 0.500 x4
Tb 0.000 0.500 0.500 x2
Pm 0.000 0.333 0.000 x4
Y 0.247 0.332 0.745 x8
Y 0.250 0.000 0.745 x4

Computed properties:
The formation energy comes out at 26 meV per atom. The density of states at the Fermi level is 1.32 states/eV per atom.

[9]
Density functional theory data (PBE) for an optimized crystal structure of AcTbPmY3.

Lattice parameters (Å, degrees): 5.981 11.652 11.939 90.00 90.00 90.00
Space group Cmcm (No. 63)
Unique sites:
Ac 0.000 0.000 0.000 x4
Tb 0.000 0.179 0.250 x4
Pm 0.000 0.499 0.250 x4
Y 0.000 0.178 0.750 x4
Y 0.000 0.328 0.000 x8

Computed properties:
The formation energy comes out at 113 meV per atom. The density of states at the Fermi level is 2.02 states/eV per atom.

[10]
Density functional theory data (PBE) for an optimized crystal structure of AcPm3Tc.

Lattice parameters (Å, degrees): 5.576 5.576 5.576 90.00 90.00 90.00
Space group Pm-3m (No. 221)
Unique sites:
Ac 0.000 0.000 0.000 x1
Pm 0.000 0.500 0.500 x3
Tc 0.500 0.500 0.500 x1

Computed properties:
The formation energy comes out at 148 meV per atom. The density of states at the Fermi level is 1.71 states/eV per atom.

[11]
Density functional theory data (PBE) for an optimized crystal structure of Ac2PmTe.

Lattice parameters (Å, degrees): 8.390 8.390 8.390 90.00 90.00 90.00
Space group Fm-3m (No. 225)
Unique sites:
Ac 0.250 0.250 0.250 x8
Pm 0.000 0.000 0.000 x4
Te 0.000 0.000 0.500 x4

Computed properties:
The value obtained for the raw formation energy is -0.25 eV/atom. The density of states at the Fermi level is 1.15 states/eV per atom.

[12]
Density functional theory data (PBE) for an optimized crystal structure of Ac3PmTe6.

Lattice parameters (Å, degrees): 13.143 4.666 13.610 90.00 108.29 90.00
Space group P2_1/m (No. 11)
Unique sites:
Ac 0.083 0.250 0.171 x2
Ac 0.185 0.750 0.507 x2
Ac 0.341 0.250 0.923 x2
Pm 0.460 0.250 0.314 x2
Te 0.016 0.250 0.381 x2
Te 0.095 0.250 0.929 x2
Te 0.264 0.750 0.290 x2
Te 0.321 0.750 0.751 x2
Te 0.396 0.250 0.537 x2
Te 0.416 0.750 0.109 x2

Computed properties:
The value obtained for the raw formation energy is -1.49 eV/atom.

[13]
Density functional theory data (PBE) for an optimized crystal structure of Ac3Pm5Te8.

Lattice parameters (Å, degrees): 7.876 7.876 7.876 90.00 90.00 90.00
Space group Pm-3m (No. 221)
Unique sites:
Ac 0.000 0.000 0.500 x3
Pm 0.000 0.000 0.000 x1
Pm 0.000 0.500 0.500 x3
Pm 0.500 0.500 0.500 x1
Te 0.254 0.254 0.254 x8

Computed properties:
The value obtained for the raw formation energy is -1.32 eV/atom. The density of states at the Fermi level is 0.91 states/eV per atom.

[14]
Density functional theory data (PBE) for an optimized crystal structure of Ac5Pm2Te12.

Lattice parameters (Å, degrees): 17.852 8.677 10.419 90.00 103.22 90.00
Space group C2/m (No. 12)
Unique sites:
Ac 0.000 0.000 0.000 x2
Ac 0.175 0.500 0.307 x4
Ac 0.206 0.500 0.849 x4
Pm 0.000 0.251 0.500 x4
Te 0.011 0.500 0.721 x4
Te 0.045 0.000 0.713 x4
Te 0.148 0.250 0.063 x8
Te 0.181 0.245 0.573 x8

Computed properties:
The value obtained for the raw formation energy is -1.31 eV/atom. The density of states at the Fermi level is 0.25 states/eV per atom.

[15]
Density functional theory data (PBE) for an optimized crystal structure of AcPmTe3.

Lattice parameters (Å, degrees): 8.542 4.641 17.810 90.00 90.00 90.00
Space group Pnma (No. 62)
Unique sites:
Ac 0.137 0.250 0.200 x4
Pm 0.229 0.750 0.458 x4
Te 0.007 0.250 0.395 x4
Te 0.121 0.750 0.060 x4
Te 0.155 0.250 0.785 x4

Computed properties:
The value obtained for the raw formation energy is -1.53 eV/atom. The density of states at the Fermi level is 0.02 states/eV per atom.

[16]
Density functional theory data (PBE) for an optimized crystal structure of AcPmTe3.

Lattice parameters (Å, degrees): 4.608 7.727 10.126 90.00 90.00 90.00
Space group Pmmn (No. 59, origin choice 2)
Unique sites:
Ac 0.250 0.250 0.151 x2
Pm 0.250 0.750 0.402 x2
Te 0.250 0.518 0.665 x4
Te 0.250 0.750 0.077 x2

Computed properties:
The value obtained for the raw formation energy is -1.49 eV/atom. The density of states at the Fermi level is 0.08 states/eV per atom.

[17]
Density functional theory data (PBE) for an optimized crystal structure of Ac2Pm3Te6.

Lattice parameters (Å, degrees): 7.844 13.533 8.034 90.00 109.03 90.00
Space group C2/m (No. 12)
Unique sites:
Ac 0.000 0.165 0.000 x4
Pm 0.000 0.000 0.500 x2
Pm 0.000 0.331 0.500 x4
Te 0.236 0.500 0.740 x4
Te 0.248 0.338 0.260 x8

Computed properties:
The value obtained for the raw formation energy is -1.49 eV/atom. The density of states at the Fermi level is 0.52 states/eV per atom.

[18]
Density functional theory data (PBE) for an optimized crystal structure of Ac5Pm3Te8.

Lattice parameters (Å, degrees): 9.2630 9.2630 22.7454 90.00 90.00 120.00
Space group R-3m (No. 166, hexagonal axes)
Unique sites:
Ac 0.0000 0.0000 0.0000 x3
Ac 0.0000 0.0000 0.5000 x3
Ac 0.0000 0.5000 0.0000 x9
Pm 0.0000 0.5000 0.5000 x9
Te 0.0000 0.0000 0.2444 x6
Te 0.0079 0.5040 0.7540 x18

Computed properties:
The value obtained for the raw formation energy is -1.45 eV/atom. The density of states at the Fermi level is 0.72 states/eV per atom.

[19]
Density functional theory data (PBE) for an optimized crystal structure of Ac2PmTe3.

Lattice parameters (Å, degrees): 8.073 8.090 14.507 100.86 100.83 108.68
Space group P-1 (No. 2)
Unique sites:
Ac 0.044 0.294 0.088 x2
Ac 0.123 0.873 0.246 x2
Ac 0.206 0.456 0.412 x2
Ac 0.373 0.623 0.747 x2
Pm 0.293 0.042 0.584 x2
Pm 0.458 0.207 0.916 x2
Te 0.038 0.276 0.578 x2
Te 0.139 0.889 0.750 x2
Te 0.224 0.462 0.922 x2
Te 0.302 0.040 0.078 x2
Te 0.389 0.639 0.250 x2
Te 0.460 0.198 0.422 x2

Computed properties:
The value obtained for the raw formation energy is -1.46 eV/atom. The density of states at the Fermi level is 0.62 states/eV per atom.

Number 1: ρ 6.980 g/cm³. Number 2: ρ 7.196 g/cm³. Number 3: ρ 7.212 g/cm³. Number 4: ρ 6.797 g/cm³. Number 5: ρ 7.171 g/cm³. Number 6: ρ 5.844 g/cm³. Number 7: ρ 6.325 g/cm³. Number 8: ρ 6.337 g/cm³. Number 9: ρ 6.368 g/cm³. Number 10: ρ 7.281 g/cm³. Number 11: ρ 8.171 g/cm³. Number 12: ρ 6.670 g/cm³. Number 13: ρ 8.249 g/cm³. Number 14: ρ 6.249 g/cm³. Number 15: ρ 7.101 g/cm³. Number 16: ρ 6.952 g/cm³. Number 17: ρ 6.816 g/cm³. Number 18: ρ 7.636 g/cm³. Number 19: ρ 7.676 g/cm³.